Mn2NiW | PBE | optimized geometry

Lattice parameters (Å, degrees): 4.5224 4.5224 4.5224 131.67 131.69 70.73
With the nearest neighbours (Å) after each atom.
Fractional coordinates of all 4 atoms:
Ni: 0.7500 0.2500 0.5000  8 Mn 2.61, 4 W 2.62
W: 0.2500 0.7500 0.5000  8 Mn 2.61, 4 Ni 2.62
Mn: 0.0000 0.0000 0.0000  4 W 2.61, 4 Ni 2.61, 4 Mn 2.62
Mn: 0.5000 0.5000 0.0000  4 W 2.61, 4 Ni 2.61, 4 Mn 2.62

As for the formation energy: 0.099 eV/atom. The energy above the most stable polymorph in this dataset comes out at 68 meV/atom. The symmetry is I4/mmm (139).


Mn2Ni9W | PBE | optimized geometry

Lattice parameters (Å, degrees): 3.5980 3.5980 10.7818 90.00 90.00 90.00
With the nearest neighbours (Å) after each atom.
Fractional coordinates of all 12 atoms:
W: 0.0000 0.0000 0.0000  12 Ni 2.54
Mn: 0.0000 0.0000 0.3390  12 Ni 2.50-2.59
Mn: 0.0000 0.0000 0.6610  12 Ni 2.50-2.59
Ni: 0.5000 0.5000 0.6674  8 Ni 2.54-2.55, 4 Mn 2.55
Ni: 0.0000 0.5000 0.1659  2 W 2.54, 8 Ni 2.54, 2 Mn 2.59
Ni: 0.5000 0.0000 0.1659  2 W 2.54, 8 Ni 2.54, 2 Mn 2.59
Ni: 0.5000 0.0000 0.5000  4 Mn 2.50, 8 Ni 2.54-2.55
Ni: 0.5000 0.0000 0.8341  2 W 2.54, 8 Ni 2.54, 2 Mn 2.59
Ni: 0.0000 0.5000 0.8341  2 W 2.54, 8 Ni 2.54, 2 Mn 2.59
Ni: 0.0000 0.5000 0.5000  4 Mn 2.50, 8 Ni 2.54-2.55
Ni: 0.5000 0.5000 0.3326  8 Ni 2.54-2.55, 4 Mn 2.55
Ni: 0.5000 0.5000 0.0000  8 Ni 2.54, 4 W 2.54

As for the formation energy: -0.095 eV/atom. The symmetry is P4/mmm (123).


MnNi2W | PBE | optimized geometry

Lattice parameters (Å, degrees): 4.1742 4.1742 4.1742 60.00 60.00 60.00
With the nearest neighbours (Å) after each atom.
Fractional coordinates of all 4 atoms:
W: 0.5000 0.5000 0.5000  8 Ni 2.56
Ni: 0.7500 0.7500 0.7500  4 W 2.56, 4 Mn 2.56
Ni: 0.2500 0.2500 0.2500  4 W 2.56, 4 Mn 2.56
Mn: 0.0000 0.0000 0.0000  8 Ni 2.56

As for the formation energy: 0.149 eV/atom. The energy above the most stable polymorph in this dataset comes out at 186 meV/atom. The symmetry is Fm-3m (225).